[1]
Computed, not measured: a relaxed structure of NdSm2Cd at the PBE level of DFT.

Lattice parameters (Å, degrees): 3.7121 3.7121 9.0381 90.00 90.00 90.00
With the nearest neighbours (Å) after each atom.
Atoms (fractional coordinates):
Sm (0.0000, 0.0000, 0.2220)  4 Cd 3.30, 4 Nd 3.63
Sm (0.0000, 0.0000, 0.7780)  4 Cd 3.30, 4 Nd 3.63
Nd (0.5000, 0.5000, 0.5000)  8 Sm 3.63, 4 Nd 3.71
Cd (0.5000, 0.5000, 0.0000)  8 Sm 3.30

## Properties
* space group: P4/mmm, No. 123
* final energy: -15.7 eV per formula unit
* crystal system: tetragonal
* formation energy: -0.1494 eV/atom
* distance to the lowest polymorph of the same formula: 0.0 kJ per mole of atoms


[2]
Computed, not measured: a relaxed structure of Nd2Sm8Cd at the PBE level of DFT.

Lattice parameters (Å, degrees): 6.0928 8.2385 8.2385 85.78 79.30 79.30
With the nearest neighbours (Å) after each atom.
Atoms (fractional coordinates):
Nd (0.4912, 0.8613, 0.8613)  1 Cd 3.04, 4 Sm 3.19-3.36, 1 Nd 3.38
Nd (0.5088, 0.1387, 0.1387)  1 Cd 3.04, 4 Sm 3.19-3.36, 1 Nd 3.38
Sm (0.0976, 0.7300, 0.7300)  1 Cd 3.16, 1 Nd 3.19, 3 Sm 3.31-3.32
Sm (0.7961, 0.6613, 0.1392)  1 Cd 3.31, 3 Sm 3.31-3.59, 1 Nd 3.36
Sm (0.2866, 0.4221, 0.4221)  6 Sm 3.32-3.60, 1 Nd 3.34
Sm (0.7961, 0.1392, 0.6613)  1 Cd 3.31, 3 Sm 3.31-3.59, 1 Nd 3.36
Sm (0.7134, 0.5779, 0.5779)  6 Sm 3.32-3.60, 1 Nd 3.34
Sm (0.2039, 0.3387, 0.8608)  1 Cd 3.31, 3 Sm 3.31-3.59, 1 Nd 3.36
Sm (0.2039, 0.8608, 0.3387)  1 Cd 3.31, 3 Sm 3.31-3.59, 1 Nd 3.36
Sm (0.9024, 0.2700, 0.2700)  1 Cd 3.16, 1 Nd 3.19, 3 Sm 3.31-3.32
Cd (0.0000, 0.0000, 0.0000)  2 Nd 3.04, 6 Sm 3.16-3.31

## Properties
* space group: C2/m, No. 12
* final energy: -44.6 eV per formula unit
* crystal system: monoclinic
* formation energy: 0.3285 eV/atom
* distance to the lowest polymorph of the same formula: 33.3 kJ per mole of atoms


[3]
Computed, not measured: a relaxed structure of Nd12SmCd3 at the PBE level of DFT.

Lattice parameters (Å, degrees): 5.0155 5.0155 20.3463 90.00 90.00 90.00
With the nearest neighbours (Å) after each atom.
Atoms (fractional coordinates):
Nd (0.0000, 0.5000, 0.1313)  8 Nd 3.55-3.66, 2 Cd 3.58, 2 Sm 3.66
Nd (0.5000, 0.0000, 0.1313)  8 Nd 3.55-3.66, 2 Cd 3.58, 2 Sm 3.66
Nd (0.5000, 0.0000, 0.8687)  8 Nd 3.55-3.66, 2 Cd 3.58, 2 Sm 3.66
Nd (0.5000, 0.5000, 0.0000)  4 Sm 3.55, 8 Nd 3.66
Nd (0.5000, 0.0000, 0.6223)  4 Cd 3.51-3.53, 8 Nd 3.53-3.55
Nd (0.0000, 0.5000, 0.6223)  4 Cd 3.51-3.53, 8 Nd 3.53-3.55
Nd (0.5000, 0.0000, 0.3777)  4 Cd 3.51-3.53, 8 Nd 3.53-3.55
Nd (0.5000, 0.5000, 0.2550)  8 Nd 3.54-3.55, 4 Cd 3.55
Nd (0.5000, 0.5000, 0.7450)  8 Nd 3.54-3.55, 4 Cd 3.55
Nd (0.5000, 0.5000, 0.5000)  8 Nd 3.53, 4 Cd 3.55
Nd (0.0000, 0.5000, 0.8687)  8 Nd 3.55-3.66, 2 Cd 3.58, 2 Sm 3.66
Nd (0.0000, 0.5000, 0.3777)  4 Cd 3.51-3.53, 8 Nd 3.53-3.55
Cd (0.0000, 0.0000, 0.5000)  12 Nd 3.53-3.55
Cd (0.0000, 0.0000, 0.7430)  12 Nd 3.51-3.58
Cd (0.0000, 0.0000, 0.2570)  12 Nd 3.51-3.58
Sm (0.0000, 0.0000, 0.0000)  12 Nd 3.55-3.66

## Properties
* space group: P4/mmm, No. 123
* final energy: -65.8 eV per formula unit
* crystal system: tetragonal
* formation energy: -0.0728 eV/atom


[4]
Computed, not measured: a relaxed structure of Nd5Sm8Cd at the PBE level of DFT.

Lattice parameters (Å, degrees): 8.6862 8.6879 8.6861 102.74 122.07 104.39
With the nearest neighbours (Å) after each atom.
Atoms (fractional coordinates):
Sm (0.5862, 0.6597, 0.2459)  1 Nd 3.13, 1 Cd 3.22, 3 Sm 3.46-3.50
Sm (0.0929, 0.6601, 0.4322)  1 Cd 3.27, 2 Nd 3.31-3.62, 1 Sm 3.42
Sm (0.5862, 0.3403, 0.9265)  1 Nd 3.13, 1 Cd 3.22, 3 Sm 3.46-3.50
Sm (0.7721, 0.3399, 0.4328)  1 Cd 3.27, 2 Nd 3.31-3.62, 1 Sm 3.42
Sm (0.4457, 0.4632, 0.5310)  1 Cd 3.17, 1 Nd 3.33, 1 Sm 3.50
Sm (0.4460, 0.9146, 0.9814)  1 Cd 3.17, 1 Nd 3.34, 1 Sm 3.50
Sm (0.0668, 0.0854, 0.5314)  1 Cd 3.17, 1 Nd 3.34, 1 Sm 3.50
Sm (0.0678, 0.5368, 0.9825)  1 Cd 3.17, 1 Nd 3.33, 1 Sm 3.50
Nd (0.9031, 0.1881, 0.0906)  1 Sm 3.13, 2 Nd 3.32
Nd (0.2824, 0.2030, 0.0788)  5 Sm 3.31-3.61, 2 Nd 3.32
Nd (0.9025, 0.8119, 0.7149)  1 Sm 3.13, 2 Nd 3.32
Nd (0.8758, 0.7970, 0.0794)  5 Sm 3.31-3.61, 2 Nd 3.32
Nd (0.4587, 0.0000, 0.4587)  8 Sm 3.62-3.98, 2 Nd 3.86
Cd (0.2640, 0.5000, 0.7640)  8 Sm 3.17-3.27

## Properties
* space group: C2, No. 5
* final energy: -60.6 eV per formula unit
* crystal system: monoclinic
* formation energy: 0.1366 eV/atom


[5]
Computed, not measured: a relaxed structure of NdSm4Cd3 at the PBE level of DFT.

Lattice parameters (Å, degrees): 5.4409 5.4409 9.6816 73.68 73.68 60.00
With the nearest neighbours (Å) after each atom.
Atoms (fractional coordinates):
Cd (0.7422, 0.7422, 0.7735)  8 Sm 3.21-3.50
Cd (0.2578, 0.2578, 0.2265)  8 Sm 3.21-3.50
Cd (0.5000, 0.5000, 0.5000)  8 Sm 3.16-3.30
Sm (0.6151, 0.6151, 0.1548)  5 Cd 3.16-3.49, 3 Nd 3.45
Sm (0.1303, 0.1303, 0.6090)  7 Cd 3.30-3.50, 1 Nd 3.58
Sm (0.8697, 0.8697, 0.3910)  7 Cd 3.30-3.50, 1 Nd 3.58
Sm (0.3849, 0.3849, 0.8452)  5 Cd 3.16-3.49, 3 Nd 3.45
Nd (0.0000, 0.0000, 0.0000)  8 Sm 3.45-3.58, 6 Cd 3.76

## Properties
* space group: R-3m, No. 166
* final energy: -27.7 eV per formula unit
* crystal system: trigonal
* formation energy: -0.1677 eV/atom


[6]
Computed, not measured: a relaxed structure of Nd2Sm5Cd at the PBE level of DFT.

Lattice parameters (Å, degrees): 7.1191 7.1196 7.1501 119.86 119.86 90.00
With the nearest neighbours (Å) after each atom.
Atoms (fractional coordinates):
Nd (0.2221, 0.7222, 0.4444)  10 Sm 3.56-3.58, 2 Cd 3.56
Nd (0.7223, 0.2222, 0.4444)  2 Cd 3.56, 10 Sm 3.56-3.58
Sm (0.7221, 0.7221, 0.9442)  6 Sm 3.56-3.58, 2 Cd 3.57-3.58, 4 Nd 3.57-3.58
Sm (0.2221, 0.7224, 0.9444)  6 Sm 3.56-3.58, 2 Cd 3.57-3.58, 4 Nd 3.57-3.58
Sm (0.2222, 0.2222, 0.9444)  6 Sm 3.56-3.58, 2 Cd 3.57-3.58, 4 Nd 3.57-3.58
Sm (0.7220, 0.7220, 0.4441)  4 Nd 3.56, 8 Sm 3.57-3.58
Sm (0.7223, 0.2220, 0.9443)  6 Sm 3.56-3.57, 2 Cd 3.57-3.58, 4 Nd 3.57-3.58
Cd (0.2220, 0.2219, 0.4439)  4 Nd 3.56, 8 Sm 3.57-3.58

## Properties
* space group: I4/mmm, No. 139
* final energy: -34.3 eV per formula unit
* crystal system: tetragonal
* formation energy: -0.0363 eV/atom


[7]
Computed, not measured: a relaxed structure of Nd2SmCd at the PBE level of DFT.

Lattice parameters (Å, degrees): 3.7347 3.7347 9.0760 90.00 90.00 90.00
With the nearest neighbours (Å) after each atom.
Atoms (fractional coordinates):
Cd (0.5000, 0.5000, 0.0000)  8 Nd 3.34, 4 Cd 3.73
Sm (0.5000, 0.5000, 0.5000)  8 Nd 3.64, 4 Sm 3.73
Nd (0.0000, 0.0000, 0.7754)  4 Cd 3.34, 4 Sm 3.64, 4 Nd 3.73
Nd (0.0000, 0.0000, 0.2246)  4 Cd 3.34, 4 Sm 3.64, 4 Nd 3.73

## Properties
* space group: P4/mmm, No. 123
* final energy: -15.8 eV per formula unit
* crystal system: tetragonal
* formation energy: -0.1465 eV/atom
* distance to the lowest polymorph of the same formula: 0.0 kJ per mole of atoms


[8]
Computed, not measured: a relaxed structure of Nd3SmCd4 at the PBE level of DFT.

Lattice parameters (Å, degrees): 5.4162 7.7574 10.8306 90.00 90.00 90.00
With the nearest neighbours (Å) after each atom.
Atoms (fractional coordinates):
Sm (0.0000, 0.5000, 0.0000)  8 Cd 3.32
Sm (0.0000, 0.5000, 0.5000)  8 Cd 3.32
Nd (0.4979, 0.5000, 0.2500)  8 Cd 3.32
Nd (0.5021, 0.0000, 0.7500)  8 Cd 3.34-3.35
Nd (0.0000, 0.0000, 0.0000)  8 Cd 3.34
Nd (0.4979, 0.0000, 0.2500)  8 Cd 3.34-3.35
Nd (0.5021, 0.5000, 0.7500)  8 Cd 3.32
Nd (0.0000, 0.0000, 0.5000)  8 Cd 3.34
Cd (0.5000, 0.7471, 0.5000)  6 Nd 3.32-3.34, 2 Sm 3.32
Cd (0.9976, 0.2529, 0.2500)  6 Nd 3.32-3.35, 2 Sm 3.32
Cd (0.5000, 0.2529, 0.5000)  6 Nd 3.32-3.34, 2 Sm 3.32
Cd (0.0024, 0.7471, 0.7500)  6 Nd 3.32-3.35, 2 Sm 3.32
Cd (0.9976, 0.7471, 0.2500)  6 Nd 3.32-3.35, 2 Sm 3.32
Cd (0.5000, 0.7471, 0.0000)  6 Nd 3.32-3.34, 2 Sm 3.32
Cd (0.0024, 0.2529, 0.7500)  6 Nd 3.32-3.35, 2 Sm 3.32
Cd (0.5000, 0.2529, 0.0000)  6 Nd 3.32-3.34, 2 Sm 3.32

## Properties
* space group: Pmma, No. 51
* final energy: -25.2 eV per formula unit
* crystal system: orthorhombic
* formation energy: -0.3184 eV/atom


[9]
Computed, not measured: a relaxed structure of Nd5SmCd4 at the PBE level of DFT.

Lattice parameters (Å, degrees): 3.8020 3.8020 20.7011 90.00 90.00 90.00
With the nearest neighbours (Å) after each atom.
Atoms (fractional coordinates):
Nd (0.5000, 0.5000, 0.6894)  8 Cd 3.32-3.35
Nd (0.5000, 0.5000, 0.3106)  8 Cd 3.32-3.35
Nd (0.5000, 0.5000, 0.8803)  4 Cd 3.32, 4 Sm 3.66
Nd (0.5000, 0.5000, 0.5000)  8 Cd 3.33
Nd (0.5000, 0.5000, 0.1197)  4 Cd 3.32, 4 Sm 3.66
Sm (0.0000, 0.0000, 0.0000)  8 Nd 3.66, 4 Sm 3.80
Cd (0.0000, 0.0000, 0.4049)  8 Nd 3.32-3.33
Cd (0.0000, 0.0000, 0.5951)  8 Nd 3.32-3.33
Cd (0.0000, 0.0000, 0.2136)  8 Nd 3.32-3.35
Cd (0.0000, 0.0000, 0.7864)  8 Nd 3.32-3.35

## Properties
* space group: P4/mmm, No. 123
* final energy: -34.6 eV per formula unit
* crystal system: tetragonal
* formation energy: -0.2402 eV/atom


[10]
Computed, not measured: a relaxed structure of Nd7Sm12Cd at the PBE level of DFT.

Lattice parameters (Å, degrees): 8.8312 8.8312 8.8312 87.55 87.55 87.55
With the nearest neighbours (Å) after each atom.
Atoms (fractional coordinates):
Sm (0.4993, 0.3878, 0.8601)  4 Sm 3.23-3.55, 2 Nd 3.29-3.58
Sm (0.8660, 0.2475, 0.7420)  1 Cd 3.31, 5 Sm 3.35-3.57, 2 Nd 3.61-3.67
Sm (0.7525, 0.2580, 0.1340)  1 Cd 3.31, 5 Sm 3.35-3.57, 2 Nd 3.61-3.67
Sm (0.3878, 0.8601, 0.4993)  4 Sm 3.23-3.55, 2 Nd 3.29-3.58
Sm (0.5007, 0.6122, 0.1399)  4 Sm 3.23-3.55, 2 Nd 3.29-3.58
Sm (0.1340, 0.7525, 0.2580)  1 Cd 3.31, 5 Sm 3.35-3.57, 2 Nd 3.61-3.67
Sm (0.1399, 0.5007, 0.6122)  4 Sm 3.23-3.55, 2 Nd 3.29-3.58
Sm (0.8601, 0.4993, 0.3878)  4 Sm 3.23-3.55, 2 Nd 3.29-3.58
Sm (0.7420, 0.8660, 0.2475)  1 Cd 3.31, 5 Sm 3.35-3.57, 2 Nd 3.61-3.67
Sm (0.2475, 0.7420, 0.8660)  1 Cd 3.31, 5 Sm 3.35-3.57, 2 Nd 3.61-3.67
Sm (0.6122, 0.1399, 0.5007)  4 Sm 3.23-3.55, 2 Nd 3.29-3.58
Sm (0.2580, 0.1340, 0.7525)  1 Cd 3.31, 5 Sm 3.35-3.57, 2 Nd 3.61-3.67
Nd (0.0779, 0.1475, 0.3921)  3 Nd 3.46-3.49, 7 Sm 3.58-3.82, 1 Cd 3.85
Nd (0.8525, 0.6079, 0.9221)  3 Nd 3.46-3.49, 7 Sm 3.58-3.82, 1 Cd 3.85
Nd (0.9221, 0.8525, 0.6079)  3 Nd 3.46-3.49, 7 Sm 3.58-3.82, 1 Cd 3.85
Nd (0.1475, 0.3921, 0.0779)  3 Nd 3.46-3.49, 7 Sm 3.58-3.82, 1 Cd 3.85
Nd (0.6079, 0.9221, 0.8525)  3 Nd 3.46-3.49, 7 Sm 3.58-3.82, 1 Cd 3.85
Nd (0.3921, 0.0779, 0.1475)  3 Nd 3.46-3.49, 7 Sm 3.58-3.82, 1 Cd 3.85
Nd (0.5000, 0.5000, 0.5000)  6 Sm 3.29
Cd (0.0000, 0.0000, 0.0000)  6 Sm 3.31

## Properties
* space group: R-3, No. 148
* final energy: -87.7 eV per formula unit
* crystal system: trigonal
* formation energy: 0.1621 eV/atom


[11]
Computed, not measured: a relaxed structure of Nd3Sm2Cd2 at the PBE level of DFT.

Lattice parameters (Å, degrees): 3.6873 3.6532 16.5306 90.00 96.40 90.00
With the nearest neighbours (Å) after each atom.
Atoms (fractional coordinates):
Sm (0.7037, 0.5000, 0.4074)  4 Cd 3.29, 4 Sm 3.56-3.65
Sm (0.2963, 0.5000, 0.5926)  4 Cd 3.29, 4 Sm 3.56-3.65
Cd (0.1424, 0.0000, 0.2847)  4 Sm 3.29, 4 Nd 3.33, 2 Cd 3.65
Cd (0.8576, 0.0000, 0.7153)  4 Sm 3.29, 4 Nd 3.33, 2 Cd 3.65
Nd (0.4213, 0.5000, 0.8426)  4 Cd 3.33, 8 Nd 3.65-3.69
Nd (0.0000, 0.0000, 0.0000)  12 Nd 3.65-3.69
Nd (0.5787, 0.5000, 0.1574)  4 Cd 3.33, 8 Nd 3.65-3.69

## Properties
* space group: Cmmm, No. 65
* final energy: -26.2 eV per formula unit
* crystal system: orthorhombic
* formation energy: -0.0945 eV/atom
* distance to the lowest polymorph of the same formula: 5.7 kJ per mole of atoms